DFT (PBE-GGA) results for a geometry-optimized VTeI2 structure.

Cell lengths 10.257, 10.257, 5.242 Å; angles 90.00, 90.00, 90.00 degrees
Space group I-42d (No. 122)
Symmetry-distinct sites (fractional):
V1 0.000 0.000 0.000
Te1 0.000 0.000 0.500
I1 0.103 0.250 0.125

Calculated density, kg/m3: 5208
VASP energy, eV/atom: -3.911

***

DFT (PBE-GGA) results for a geometry-optimized VTeI structure.

Cell lengths 3.345, 3.345, 14.227 Å; angles 90.00, 90.00, 90.00 degrees
Space group I4mm (No. 107)
Symmetry-distinct sites (fractional):
V1 0.000 0.000 0.000
Te1 0.000 0.000 0.387
I1 0.000 0.000 0.622

Calculated density, kg/m3: 6373
VASP energy, eV/atom: -4.564

***

DFT (PBE-GGA) results for a geometry-optimized VTeI2 structure.

Cell lengths 3.8125, 3.8125, 35.5191 Å; angles 90.00, 90.00, 120.00 degrees
Space group R-3m (No. 166, hexagonal axes)
Symmetry-distinct sites (fractional):
V1 0.0000 0.0000 0.0000
Te1 0.0000 0.0000 0.5000
I1 0.0000 0.0000 0.3812

Calculated density, kg/m3: 4817
VASP energy, eV/atom: -3.841

***

DFT (PBE-GGA) results for a geometry-optimized VTeI structure.

Cell lengths 16.1830, 16.1830, 6.9578 Å; angles 90.00, 90.00, 120.00 degrees
Space group R-3 (No. 148, hexagonal axes)
Symmetry-distinct sites (fractional):
V1 0.0171 0.6241 0.2999
Te1 0.0633 0.2696 0.6580
I1 0.0393 0.1876 0.1763

Calculated density, kg/m3: 5785
VASP energy, eV/atom: -4.817

***

| no. | distance to the lowest polymorph of the same formula (meV per atom) |
| --- | --- |
| 1 | 0.0 |
| 2 | 432.4 |
| 3 | 69.9 |
| 4 | 179.1 |